No. 1
Compound: TaZn2Te
Source: Alexandria via LeMat-Bulk
Functional: GGA-PBE
Structure: relaxed

a b c (Å): 7.6506 7.6506 6.0686
angles (deg): 50.92 50.92 90.00
With the nearest neighbours (Å) after each atom.
Fractional positions:
Ta (0.0000, 0.0000, 0.0000)  4 Zn 2.75, 2 Te 2.75
Ta (0.7500, 0.2500, 0.5000)  4 Zn 2.75, 2 Te 2.75
Te (0.2500, 0.7500, 0.5000)  2 Ta 2.75, 4 Zn 2.84
Te (0.5000, 0.5000, 0.0000)  2 Ta 2.75, 4 Zn 2.84
Zn (0.3750, 0.3666, 0.7500)  2 Ta 2.75, 2 Zn 2.75, 2 Te 2.84
Zn (0.1166, 0.6250, 0.2500)  2 Ta 2.75, 2 Zn 2.75, 2 Te 2.84
Zn (0.6334, 0.1250, 0.2500)  2 Ta 2.75, 2 Zn 2.75, 2 Te 2.84
Zn (0.8750, 0.8834, 0.7500)  2 Ta 2.75, 2 Zn 2.75, 2 Te 2.84

Summary:
- V: 161.0 Å³/cell
- Raw total energy: -15.52 eV/f.u.
- Raw formation energy: 0.505 eV/atom
- Density of states at the Fermi level: 6.2 states/eV per cell

No. 2
Compound: La2PrDyTm4
Source: Alexandria via LeMat-Bulk
Functional: GGA-PBE
Structure: relaxed

a b c (Å): 12.3278 7.1824 12.3213
angles (deg): 106.88 146.12 90.02
With the nearest neighbours (Å) after each atom.
Fractional positions:
Pr (0.0003, 0.5003, 0.5004)  6 Tm 3.59, 6 La 3.59-3.60
Pr (0.9999, 0.4999, 0.9998)  6 Tm 3.54, 4 Dy 3.59, 2 La 3.59
Tm (0.7501, 0.7501, 0.5027)  2 Dy 3.54, 3 La 3.55-3.59, 6 Tm 3.58-3.60, 1 Pr 3.59
Tm (0.2498, 0.2498, 0.4971)  2 Dy 3.54, 3 La 3.55-3.60, 6 Tm 3.58-3.60, 1 Pr 3.59
Tm (0.2489, 0.7509, 0.0015)  2 Pr 3.54-3.59, 3 La 3.54-3.59, 1 Dy 3.54, 6 Tm 3.58-3.60
Tm (0.2495, 0.2507, 0.0027)  2 Dy 3.53-3.54, 1 Pr 3.54, 6 Tm 3.59-3.60, 3 La 3.59-3.60
Tm (0.7511, 0.2491, 0.9985)  1 Dy 3.54, 2 Pr 3.54-3.59, 3 La 3.54-3.59, 6 Tm 3.58-3.60
Tm (0.7503, 0.7492, 0.9971)  2 Dy 3.54, 1 Pr 3.54, 6 Tm 3.58-3.60, 3 La 3.59-3.60
Tm (0.2506, 0.7486, 0.4980)  2 Pr 3.54-3.59, 1 Dy 3.54, 3 La 3.54-3.59, 6 Tm 3.58-3.60
Tm (0.7494, 0.2514, 0.5020)  2 Pr 3.54-3.59, 1 Dy 3.54, 3 La 3.54-3.59, 6 Tm 3.58-3.60
Dy (0.4998, 0.4998, 0.4998)  6 Tm 3.53-3.54, 2 Pr 3.59, 2 La 3.59, 2 Dy 3.59-3.60
Dy (0.9998, 0.9998, 0.9997)  6 Tm 3.54, 2 La 3.59, 2 Pr 3.59, 2 Dy 3.59-3.60
La (0.5002, 0.5001, 0.0002)  2 Pr 3.59, 4 La 3.59-3.60, 6 Tm 3.59-3.60
La (0.5003, 0.0003, 0.0004)  6 Tm 3.59, 4 La 3.59, 2 Pr 3.59-3.60
La (0.0002, 0.0002, 0.5002)  4 La 3.59-3.60, 2 Pr 3.59, 6 Tm 3.59-3.60
La (0.4999, 0.9999, 0.4998)  6 Tm 3.54-3.55, 4 Dy 3.59, 2 Pr 3.59

Summary:
- V: 518.9 Å³/cell
- Raw total energy: -36.95 eV/f.u.
- Density of states at the Fermi level: 19.8 states/eV per cell

No. 3
Compound: Er3Al9Zn2
Source: Alexandria via LeMat-Bulk
Functional: GGA-PBE
Structure: relaxed

a b c (Å): 4.2766 8.2156 8.2156
angles (deg): 75.82 74.91 74.91
With the nearest neighbours (Å) after each atom.
Fractional positions:
Zn (0.5000, 0.3001, 0.6999)  6 Al 2.58-2.74
Zn (0.5000, 0.6999, 0.3001)  6 Al 2.58-2.74
Al (0.6556, 0.9715, 0.7173)  4 Al 2.57-2.68, 1 Zn 2.58
Al (0.1393, 0.5823, 0.1391)  4 Al 2.64-2.81, 2 Zn 2.74
Al (0.6556, 0.7173, 0.9715)  4 Al 2.57-2.68, 1 Zn 2.58
Al (0.3444, 0.2827, 0.0285)  4 Al 2.57-2.68, 1 Zn 2.58
Al (0.3444, 0.0285, 0.2827)  4 Al 2.57-2.68, 1 Zn 2.58
Al (0.0000, 0.5000, 0.5000)  4 Al 2.81, 4 Zn 2.94, 4 Er 3.14
Al (0.1393, 0.1391, 0.5823)  4 Al 2.64-2.81, 2 Zn 2.74
Al (0.8607, 0.8609, 0.4177)  4 Al 2.64-2.81, 2 Zn 2.74
Al (0.8607, 0.4177, 0.8609)  4 Al 2.64-2.81, 2 Zn 2.74
Er (0.6881, 0.3119, 0.3119)  2 Zn 3.06, 10 Al 3.14-3.15
Er (0.3119, 0.6881, 0.6881)  2 Zn 3.06, 10 Al 3.14-3.15
Er (0.0000, 0.0000, 0.0000)  12 Al 3.14-3.29

Summary:
- V: 264.2 Å³/cell
- Raw total energy: -54.68 eV/f.u.
- Density of states at the Fermi level: 3.2 states/eV per cell

No. 4
Compound: Al2GeP3
Source: Alexandria via LeMat-Bulk
Functional: GGA-PBE
Structure: relaxed

a b c (Å): 6.8076 6.8076 12.3548
angles (deg): 100.60 100.60 109.40
With the nearest neighbours (Å) after each atom.
Fractional positions:
Al (0.8342, 0.4981, 0.8321)  4 P 2.37-2.38
Al (0.7521, 0.9160, 0.6679)  4 P 2.37-2.38
Al (0.1641, 0.8359, 0.5000)  4 P 2.37-2.38
Al (0.9190, 0.0810, 0.0000)  4 P 2.38-2.39
Al (0.4141, 0.5859, 0.0000)  4 P 2.37-2.38
Al (0.6690, 0.3310, 0.5000)  4 P 2.38-2.39
Al (0.0840, 0.2479, 0.3321)  4 P 2.37-2.38
Al (0.5019, 0.1658, 0.1679)  4 P 2.37-2.38
P (0.4662, 0.3894, 0.8352)  2 Al 2.37, 2 Ge 2.44-2.46
P (0.5499, 0.9581, 0.0049)  3 Al 2.38-2.39, 1 Ge 2.46
P (0.7150, 0.1314, 0.3334)  3 Al 2.37-2.38, 1 Ge 2.46
P (0.1958, 0.6189, 0.3352)  2 Al 2.37, 2 Ge 2.44-2.46
P (0.2950, 0.2032, 0.4951)  3 Al 2.38-2.39, 1 Ge 2.46
P (0.7968, 0.7050, 0.5049)  3 Al 2.38-2.39, 1 Ge 2.46
P (0.6106, 0.5338, 0.1648)  2 Al 2.37, 2 Ge 2.44-2.46
P (0.3811, 0.8042, 0.6648)  2 Al 2.37, 2 Ge 2.44-2.46
P (0.1316, 0.0480, 0.1666)  3 Al 2.37-2.38, 1 Ge 2.46
P (0.0419, 0.4501, 0.9951)  3 Al 2.38-2.39, 1 Ge 2.46
P (0.9520, 0.8684, 0.8334)  3 Al 2.37-2.38, 1 Ge 2.46
P (0.8686, 0.2850, 0.6666)  3 Al 2.37-2.38, 1 Ge 2.46
Ge (0.9925, 0.6640, 0.1638)  4 P 2.44-2.46
Ge (0.5787, 0.7502, 0.3362)  4 P 2.44-2.46
Ge (0.2498, 0.4213, 0.6638)  4 P 2.44-2.46
Ge (0.3360, 0.0075, 0.8362)  4 P 2.44-2.46

Summary:
- V: 511.9 Å³/cell
- Raw total energy: -30.11 eV/f.u.
- Density of states at the Fermi level: 9.2 states/eV per cell

Question: What is the raw total energy in the second record?
Answer: -36.95 eV/f.u.

Question: Number 3 is which compound?
Answer: Er3Al9Zn2